1.
{"formula": "PmSmCu4", "functional": "PBE-GGA", "state": "relaxed", "lattice": [[5.3331, 0.0000, 0.0000], [2.6665, 4.6186, 0.0000], [2.6665, 1.5395, 4.3544]], "species": ["Cu", "Cu", "Cu", "Cu", "Sm", "Pm"], "fractional_positions": [[0.6251, 0.6251, 0.1246], [0.6251, 0.1246, 0.6251], [0.6251, 0.6251, 0.6251], [0.1246, 0.6251, 0.6251], [0.0000, 0.0000, 0.0000], [0.2500, 0.2500, 0.2500]], "magnetic_moment_mub_per_cell": 0.0, "volume_a3_per_cell": 107.3, "relative_energy_ev_per_atom": 0.124, "rho_kg_m3": 8508, "delta_e_f_ev_per_atom": -0.10}

***

2.
{"formula": "Pm2SmCu", "functional": "PBE-GGA", "state": "relaxed", "lattice": [[3.7079, 0.0000, 0.0000], [1.8539, 3.2111, 0.0000], [1.8539, 1.0704, 10.0148]], "species": ["Pm", "Pm", "Sm", "Cu"], "fractional_positions": [[0.0678, 0.0678, 0.7967], [0.2657, 0.2657, 0.2029], [0.4998, 0.4998, 0.5005], [0.6667, 0.6667, 0.9998]], "magnetic_moment_mub_per_cell": 0.0, "volume_a3_per_cell": 119.2, "relative_energy_ev_per_atom": 0.126, "rho_kg_m3": 7017, "delta_e_f_ev_per_atom": 0.06}

***

3.
{"formula": "Pm2SmCu", "functional": "PBE-GGA", "state": "relaxed", "lattice": [[3.5525, 0.0000, 0.0000], [1.7763, 3.0766, 0.0000], [1.7763, 1.0255, 11.0827]], "species": ["Cu", "Sm", "Pm", "Pm"], "fractional_positions": [[0.5000, 0.5000, 0.5000], [0.0000, 0.0000, 0.0000], [0.1042, 0.1042, 0.6873], [0.8958, 0.8958, 0.3127]], "magnetic_moment_mub_per_cell": 0.2, "volume_a3_per_cell": 121.1, "relative_energy_ev_per_atom": 0.310, "rho_kg_m3": 6908, "delta_e_f_ev_per_atom": 0.24}

***

4.
{"formula": "PmSm3Cu2", "functional": "PBE-GGA", "state": "relaxed", "lattice": [[3.5719, 0.0000, 0.0000], [0.0000, 3.5719, 0.0000], [0.0000, 0.0000, 12.3788]], "species": ["Pm", "Sm", "Sm", "Sm", "Cu", "Cu"], "fractional_positions": [[0.5000, 0.5000, 0.5000], [0.0000, 0.0000, 0.0000], [0.0000, 0.0000, 0.7178], [0.0000, 0.0000, 0.2822], [0.5000, 0.5000, 0.8568], [0.5000, 0.5000, 0.1432]], "magnetic_moment_mub_per_cell": 0.0, "volume_a3_per_cell": 157.9, "rho_kg_m3": 7603, "delta_e_f_ev_per_atom": -0.11}

***

5.
{"formula": "Pm2SmCu6", "functional": "PBE-GGA", "state": "relaxed", "lattice": [[3.7036, 0.0000, 0.0000], [0.0000, 6.4068, -3.6990], [0.0000, 0.0000, 7.3979]], "species": ["Pm", "Pm", "Sm", "Cu", "Cu", "Cu", "Cu", "Cu", "Cu"], "fractional_positions": [[0.0000, 0.3333, 0.6667], [0.0000, 0.6667, 0.3333], [0.0000, 0.0000, 0.0000], [0.5000, 0.3329, 0.3329], [0.5000, 0.6671, 0.6671], [0.5000, 0.0000, 0.6671], [0.5000, 0.6671, 0.0000], [0.5000, 0.3329, 0.0000], [0.5000, 0.0000, 0.3329]], "magnetic_moment_mub_per_cell": 0.0, "volume_a3_per_cell": 175.5, "relative_energy_ev_per_atom": 0.000, "rho_kg_m3": 7772, "delta_e_f_ev_per_atom": -0.23}

***

6.
{"formula": "Pm2SmCu4", "functional": "PBE-GGA", "state": "relaxed", "lattice": [[-3.2192, 1.5404, -4.0178], [2.2049, -3.7184, -3.1923], [-3.1985, -2.4819, 5.2050]], "species": ["Cu", "Cu", "Cu", "Cu", "Sm", "Pm", "Pm"], "fractional_positions": [[0.3786, 0.8786, 0.7573], [0.8786, 0.3786, 0.7573], [0.6214, 0.1214, 0.2427], [0.1214, 0.6214, 0.2427], [0.0000, 0.0000, 0.0000], [0.6980, 0.6980, 0.3961], [0.3020, 0.3020, 0.6039]], "magnetic_moment_mub_per_cell": 0.0, "volume_a3_per_cell": 155.6, "rho_kg_m3": 7411, "delta_e_f_ev_per_atom": 0.03}

***

7.
{"formula": "Pm2SmCu", "functional": "PBE-GGA", "state": "relaxed", "lattice": [[-3.8345, -1.2354, -2.9481], [-0.8209, -1.9005, 6.0790], [-3.4206, 6.7119, 1.6364]], "species": ["Pm", "Pm", "Pm", "Pm", "Sm", "Sm", "Cu", "Cu"], "fractional_positions": [[0.3539, 0.7080, 0.5298], [0.6461, 0.2920, 0.4702], [0.3539, 0.7080, 0.9702], [0.6461, 0.2920, 0.0298], [0.9536, 0.9078, 0.2500], [0.0464, 0.0922, 0.7500], [0.7992, 0.5989, 0.7500], [0.2008, 0.4011, 0.2500]], "magnetic_moment_mub_per_cell": 0.0, "volume_a3_per_cell": 227.8, "relative_energy_ev_per_atom": 0.023, "rho_kg_m3": 7346, "delta_e_f_ev_per_atom": -0.04}

***

8.
{"formula": "PmSm2Cu", "functional": "PBE-GGA", "state": "relaxed", "lattice": [[6.5733, 0.0000, 0.0000], [0.0000, 6.9690, 0.0000], [0.0000, 0.0000, 10.0357]], "species": ["Pm", "Pm", "Pm", "Pm", "Sm", "Sm", "Sm", "Sm", "Sm", "Sm", "Sm", "Sm", "Cu", "Cu", "Cu", "Cu"], "fractional_positions": [[0.6384, 0.5179, 0.2500], [0.8616, 0.0179, 0.2500], [0.3616, 0.4821, 0.7500], [0.1384, 0.9821, 0.7500], [0.1767, 0.6892, 0.0586], [0.3233, 0.1892, 0.4414], [0.8233, 0.3108, 0.5586], [0.6767, 0.8108, 0.9414], [0.8233, 0.3108, 0.9414], [0.6767, 0.8108, 0.5586], [0.1767, 0.6892, 0.4414], [0.3233, 0.1892, 0.0586], [0.0653, 0.3968, 0.2500], [0.4347, 0.8968, 0.2500], [0.9347, 0.6032, 0.7500], [0.5653, 0.1032, 0.7500]], "magnetic_moment_mub_per_cell": 0.0, "volume_a3_per_cell": 459.7, "relative_energy_ev_per_atom": 0.000, "rho_kg_m3": 7358, "delta_e_f_ev_per_atom": -0.07}

***

9.
{"formula": "Pm2SmCu2Sn2", "functional": "PBE-GGA", "state": "relaxed", "lattice": [[4.6009, 0.0000, 0.0000], [2.3005, 3.9845, 0.0000], [2.3005, 1.3282, 9.5482]], "species": ["Pm", "Pm", "Sm", "Cu", "Cu", "Sn", "Sn"], "fractional_positions": [[0.1279, 0.1279, 0.6163], [0.8721, 0.8721, 0.3837], [0.0000, 0.0000, 0.0000], [0.5976, 0.5976, 0.2072], [0.4024, 0.4024, 0.7928], [0.7345, 0.7345, 0.7964], [0.2655, 0.2655, 0.2036]], "magnetic_moment_mub_per_cell": 0.0, "volume_a3_per_cell": 175.0, "rho_kg_m3": 7635, "delta_e_f_ev_per_atom": -0.41}

***

10.
{"formula": "TbPmSmCu", "functional": "PBE-GGA", "state": "relaxed", "lattice": [[3.5679, 0.0000, 0.0000], [0.0000, 3.5679, 0.0000], [0.0000, 0.0000, 8.7017]], "species": ["Tb", "Pm", "Sm", "Cu"], "fractional_positions": [[0.5000, 0.5000, 0.3776], [0.0000, 0.0000, 0.0746], [0.5000, 0.5000, 0.7681], [0.0000, 0.0000, 0.5643]], "magnetic_moment_mub_per_cell": 0.0, "volume_a3_per_cell": 110.8, "rho_kg_m3": 7763, "delta_e_f_ev_per_atom": -0.08}

***

11.
{"formula": "PmSmCuTc", "functional": "PBE-GGA", "state": "relaxed", "lattice": [[4.9823, 0.0000, 0.0000], [2.4911, 4.3148, 0.0000], [2.4911, 1.4383, 4.0680]], "species": ["Cu", "Tc", "Sm", "Pm"], "fractional_positions": [[0.2500, 0.2500, 0.2500], [0.7500, 0.7500, 0.7500], [0.5000, 0.5000, 0.5000], [0.0000, 0.0000, 0.0000]], "magnetic_moment_mub_per_cell": 0.0, "volume_a3_per_cell": 87.5, "rho_kg_m3": 8676, "delta_e_f_ev_per_atom": 0.02}

***

12.
{"formula": "PmSmTlCu", "functional": "PBE-GGA", "state": "relaxed", "lattice": [[-1.6793, 3.4160, -3.6851], [-2.0824, -1.7991, -4.5272], [-5.1858, 0.5517, -0.9339]], "species": ["Tl", "Cu", "Sm", "Pm"], "fractional_positions": [[0.7500, 0.7500, 0.7500], [0.2500, 0.2500, 0.2500], [0.5000, 0.5000, 0.5000], [0.0000, 0.0000, 0.0000]], "magnetic_moment_mub_per_cell": 0.4, "volume_a3_per_cell": 105.2, "rho_kg_m3": 8895, "delta_e_f_ev_per_atom": -0.22}